No. 1
DFT (GGA-PBE) results for a relaxed structure of PdBr2F.

The structure in extended XYZ format:
```
4
Lattice="1.567 0.905 8.897 -1.567 0.905 8.897 0.000 -1.810 8.897" Properties=species:S:1:pos:R:3 pbc="T T T"
Pd 0.000 0.000 0.000
Br 0.000 0.000 2.401
Br 0.000 0.000 24.289
F 0.000 0.000 13.345
```

- E: -2.511 eV per atom
- Crystal system: trigonal
- Polymorph energy (0 for the lowest one): 695 meV per atom
- Magnetic moment: 0.000 μB/atom

No. 2
DFT (GGA-PBE) results for a relaxed structure of Zr8Fe2Pd.

The structure in extended XYZ format:
```
11
Lattice="8.403 -2.317 0.000 8.403 2.317 0.000 -2.128 0.000 5.726" Properties=species:S:1:pos:R:3 pbc="T T T"
Zr -0.069 0.000 1.542
Zr 1.582 0.000 4.841
Zr 4.353 0.000 2.790
Zr 6.773 0.000 0.071
Zr 7.906 0.000 5.655
Zr 10.325 0.000 2.936
Zr 13.096 0.000 0.884
Zr 14.747 0.000 4.183
Fe 2.299 0.000 1.354
Fe 12.379 0.000 4.372
Pd 7.339 0.000 2.863
```

- E: -8.378 eV per atom
- Energy of formation from the pure elements: -0.150 eV per atom
- Crystal system: monoclinic
- Magnetic moment: 0.000 μB/atom

No. 3
DFT (GGA-PBE) results for a relaxed structure of Be2ZnCu.

The structure in extended XYZ format:
```
4
Lattice="1.261 0.728 7.877 -1.261 0.728 7.877 0.000 -1.456 7.877" Properties=species:S:1:pos:R:3 pbc="T T T"
Be 0.000 0.000 5.786
Be 0.000 0.000 17.846
Zn 0.000 0.000 0.000
Cu 0.000 0.000 11.816
```

- E: -3.070 eV per atom
- Energy of formation from the pure elements: 0.136 eV per atom
- Crystal system: trigonal
- Magnetic moment: 0.000 μB/atom

No. 4
DFT (GGA-PBE) results for a relaxed structure of Mg6CdPb3.

The structure in extended XYZ format:
```
20
Lattice="9.072 0.000 0.000 0.000 5.221 0.000 -4.499 0.000 10.434" Properties=species:S:1:pos:R:3 pbc="T T T"
Mg -0.624 1.305 1.804
Mg -1.283 3.916 3.451
Mg 1.194 3.916 1.451
Mg 0.013 1.305 5.006
Mg -0.687 3.916 9.620
Mg 2.515 1.305 2.960
Mg 2.058 3.916 7.474
Mg 5.260 1.305 0.814
Mg 4.560 3.916 5.429
Mg 3.379 1.305 8.984
Mg 5.857 1.305 6.983
Mg 5.197 3.916 8.630
Cd 1.634 3.916 4.443
Cd 2.939 1.305 5.991
Pb -1.489 3.916 6.530
Pb -2.678 1.305 10.180
Pb 0.332 1.305 8.150
Pb 4.241 3.916 2.285
Pb 7.252 3.916 0.254
Pb 6.062 1.305 3.904
```

- E: -2.204 eV per atom
- Energy of formation from the pure elements: -0.044 eV per atom
- Crystal system: monoclinic
- Polymorph energy (0 for the lowest one): 0 meV per atom
- Magnetic moment: 0.000 μB/atom

No. 5
DFT (GGA-PBE) results for a relaxed structure of LaGaNi.

The structure in extended XYZ format:
```
3
Lattice="0.000 3.232 3.232 3.232 0.000 3.232 3.232 3.232 0.000" Properties=species:S:1:pos:R:3 pbc="T T T"
La 0.000 0.000 0.000
Ga 3.232 3.232 3.232
Ni 4.848 4.848 4.848
```

- E: -4.962 eV per atom
- Energy of formation from the pure elements: -0.384 eV per atom
- Crystal system: cubic
- Magnetic moment: 0.000 μB/atom

No. 6
DFT (GGA-PBE) results for a relaxed structure of SmDy4Ho2Mg.

The structure in extended XYZ format:
```
8
Lattice="4.952 0.000 0.000 0.000 4.952 0.000 0.000 0.000 9.995" Properties=species:S:1:pos:R:3 pbc="T T T"
Sm 0.000 0.000 0.000
Dy 0.000 2.476 2.538
Dy 0.000 2.476 7.457
Dy 2.476 0.000 2.538
Dy 2.476 0.000 7.457
Ho 0.000 0.000 4.997
Ho 2.476 2.476 0.000
Mg 2.476 2.476 4.997
```

- E: -4.215 eV per atom
- Energy of formation from the pure elements: 0.020 eV per atom
- Crystal system: tetragonal
- Magnetic moment: 0.000 μB/atom

No. 7
DFT (GGA-PBE) results for a relaxed structure of KRbMoSe4.

The structure in extended XYZ format:
```
14
Lattice="7.006 0.000 0.000 0.000 7.272 0.000 -3.427 0.000 9.545" Properties=species:S:1:pos:R:3 pbc="T T T"
K 1.388 1.818 0.239
K 2.192 5.454 9.306
Rb 0.255 1.818 5.697
Rb 3.325 5.454 3.847
Mo -1.456 5.454 7.474
Mo 5.035 1.818 2.071
Se -0.720 3.687 2.688
Se -0.720 7.222 2.688
Se 2.260 5.454 0.253
Se 0.594 5.454 6.342
Se 2.985 1.818 3.203
Se 1.319 1.818 9.292
Se 4.299 0.051 6.857
Se 4.299 3.585 6.857
```

- E: -4.666 eV per atom
- Crystal system: monoclinic
- Magnetic moment: 0.000 μB/atom

No. 8
DFT (GGA-PBE) results for a relaxed structure of Mn2TlW.

The structure in extended XYZ format:
```
4
Lattice="0.000 3.084 3.084 3.084 0.000 3.084 3.084 3.084 0.000" Properties=species:S:1:pos:R:3 pbc="T T T"
Mn 1.542 1.542 1.542
Mn 4.626 4.626 4.626
Tl 0.000 0.000 0.000
W 3.084 3.084 3.084
```

- E: -7.806 eV per atom
- Energy of formation from the pure elements: 0.609 eV per atom
- Crystal system: cubic
- Polymorph energy (0 for the lowest one): 146 meV per atom
- Magnetic moment: 0.240 μB/atom

No. 9
DFT (GGA-PBE) results for a relaxed structure of VIrAu.

The structure in extended XYZ format:
```
6
Lattice="4.451 -1.395 0.000 4.451 1.395 0.000 -0.800 0.000 7.525" Properties=species:S:1:pos:R:3 pbc="T T T"
V 0.790 0.000 1.977
V 7.313 0.000 5.548
Ir 0.848 0.000 4.449
Ir 7.255 0.000 3.076
Au 3.263 0.000 0.656
Au 4.840 0.000 6.869
```

- E: -7.143 eV per atom
- Energy of formation from the pure elements: -0.057 eV per atom
- Crystal system: monoclinic
- Polymorph energy (0 for the lowest one): 98 meV per atom
- Magnetic moment: 0.000 μB/atom

No. 10
DFT (GGA-PBE) results for a relaxed structure of DyTm3Pt2.

The structure in extended XYZ format:
```
12
Lattice="-3.424 6.768 3.499 3.424 -6.768 3.499 3.424 6.768 -3.499" Properties=species:S:1:pos:R:3 pbc="T T T"
Dy 0.000 0.000 0.000
Dy 0.000 0.000 3.499
Tm 3.424 3.567 -1.750
Tm 3.424 0.000 1.750
Tm 0.000 3.201 1.750
Tm 3.424 3.567 1.750
Tm 0.000 6.768 1.750
Tm 0.000 3.201 5.249
Pt 4.860 1.903 0.000
Pt 1.437 4.865 0.000
Pt 1.987 1.903 3.499
Pt -1.437 4.865 3.499
```

- E: -5.898 eV per atom
- Energy of formation from the pure elements: -0.882 eV per atom
- Crystal system: orthorhombic
- Polymorph energy (0 for the lowest one): 113 meV per atom
- Magnetic moment: 0.000 μB/atom

No. 11
DFT (GGA-PBE) results for a relaxed structure of CoAuSe2.

The structure in extended XYZ format:
```
4
Lattice="3.470 0.000 0.000 -1.735 3.005 0.000 0.000 0.000 7.255" Properties=species:S:1:pos:R:3 pbc="T T T"
Co 0.000 0.000 0.000
Au 0.000 2.003 3.549
Se 0.000 2.003 6.057
Se 1.735 1.002 1.390
```

- E: -4.415 eV per atom
- Crystal system: trigonal
- Magnetic moment: 0.000 μB/atom

No. 12
DFT (GGA-PBE) results for a relaxed structure of V3OsRu2.

The structure in extended XYZ format:
```
6
Lattice="3.005 0.000 0.000 0.000 3.005 0.000 0.000 0.000 9.121" Properties=species:S:1:pos:R:3 pbc="T T T"
V 0.000 0.000 0.000
V 0.000 0.000 3.042
V 0.000 0.000 6.079
Os 1.502 1.502 4.560
Ru 1.502 1.502 1.505
Ru 1.502 1.502 7.615
```

- E: -9.756 eV per atom
- Energy of formation from the pure elements: -0.233 eV per atom
- Crystal system: tetragonal
- Polymorph energy (0 for the lowest one): 4 meV per atom
- Magnetic moment: 0.265 μB/atom

No. 13
DFT (GGA-PBE) results for a relaxed structure of LaTbEuLu.

The structure in extended XYZ format:
```
4
Lattice="0.000 4.106 4.106 4.106 0.000 4.106 4.106 4.106 0.000" Properties=species:S:1:pos:R:3 pbc="T T T"
La 0.000 0.000 0.000
Tb 4.106 4.106 4.106
Eu 2.053 2.053 2.053
Lu 6.159 6.159 6.159
```

- E: -5.953 eV per atom
- Energy of formation from the pure elements: 0.135 eV per atom
- Crystal system: cubic
- Magnetic moment: 1.912 μB/atom

No. 14
DFT (GGA-PBE) results for a relaxed structure of SrBeAu2.

The structure in extended XYZ format:
```
4
Lattice="4.676 0.000 0.000 0.000 4.676 0.000 0.000 0.000 3.944" Properties=species:S:1:pos:R:3 pbc="T T T"
Sr 0.000 0.000 0.000
Be 2.338 2.338 0.000
Au 0.000 2.338 1.972
Au 2.338 0.000 1.972
```

- E: -2.965 eV per atom
- Energy of formation from the pure elements: 0.026 eV per atom
- Crystal system: tetragonal
- Magnetic moment: 0.000 μB/atom

No. 15
DFT (GGA-PBE) results for a relaxed structure of SmDy5Er.

The structure in extended XYZ format:
```
14
Lattice="5.841 -3.360 0.000 5.841 3.360 0.000 -4.324 0.000 11.418" Properties=species:S:1:pos:R:3 pbc="T T T"
Sm 2.598 3.160 8.564
Sm 4.760 -3.160 2.855
Dy 0.021 0.896 8.621
Dy 2.757 1.575 5.699
Dy 6.763 1.575 0.010
Dy 4.760 0.596 2.855
Dy 2.183 -0.896 2.912
Dy 5.174 0.896 8.506
Dy 2.598 -0.596 8.564
Dy 0.595 -1.575 11.408
Dy 4.601 -1.575 5.720
Dy 7.336 -0.896 2.797
Er 2.920 1.680 0.000
Er 0.758 -1.680 5.709
```

- E: -4.421 eV per atom
- Energy of formation from the pure elements: 0.192 eV per atom
- Crystal system: monoclinic
- Polymorph energy (0 for the lowest one): 0 meV per atom
- Magnetic moment: 0.000 μB/atom

No. 16
DFT (GGA-PBE) results for a relaxed structure of LiReBi2Sb.

The structure in extended XYZ format:
```
5
Lattice="5.016 0.000 0.000 0.000 5.016 0.000 0.000 0.000 4.917" Properties=species:S:1:pos:R:3 pbc="T T T"
Li 0.000 0.000 0.000
Re 2.508 2.508 2.459
Bi 0.000 2.508 0.000
Bi 2.508 0.000 0.000
Sb 0.000 0.000 2.459
```

- E: -4.079 eV per atom
- Crystal system: tetragonal
- Polymorph energy (0 for the lowest one): 0 meV per atom
- Magnetic moment: 0.580 μB/atom

No. 17
DFT (GGA-PBE) results for a relaxed structure of Cu2RuPt2.

The structure in extended XYZ format:
```
10
Lattice="7.144 0.000 0.000 0.000 7.144 0.000 0.000 0.000 2.813" Properties=species:S:1:pos:R:3 pbc="T T T"
Cu 0.854 2.718 0.000
Cu 2.718 6.290 0.000
Cu 4.426 0.854 0.000
Cu 6.290 4.426 0.000
Ru 0.000 0.000 0.000
Ru 3.572 3.572 0.000
Pt 1.277 4.849 1.406
Pt 2.294 1.277 1.406
Pt 4.849 5.866 1.406
Pt 5.866 2.294 1.406
```

- E: -5.703 eV per atom
- Energy of formation from the pure elements: 0.207 eV per atom
- Crystal system: tetragonal
- Polymorph energy (0 for the lowest one): 0 meV per atom
- Magnetic moment: 0.373 μB/atom

No. 18
DFT (GGA-PBE) results for a relaxed structure of DyIn5Rh.

The structure in extended XYZ format:
```
7
Lattice="4.665 0.000 0.000 0.000 4.665 0.000 0.000 0.000 7.476" Properties=species:S:1:pos:R:3 pbc="T T T"
Dy 0.000 0.000 0.000
In 0.000 2.332 2.242
In 0.000 2.332 5.234
In 2.332 0.000 2.242
In 2.332 0.000 5.234
In 2.332 2.332 0.000
Rh 0.000 0.000 3.738
```

- E: -4.078 eV per atom
- Energy of formation from the pure elements: -0.414 eV per atom
- Crystal system: tetragonal
- Magnetic moment: 0.000 μB/atom

No. 19
DFT (GGA-PBE) results for a relaxed structure of Ca2SnS4.

The structure in extended XYZ format:
```
14
Lattice="3.554 -6.915 0.000 3.554 6.915 0.000 0.000 0.000 7.119" Properties=species:S:1:pos:R:3 pbc="T T T"
Ca 1.094 2.022 3.394
Ca 1.094 -2.022 3.725
Ca 6.015 2.022 0.166
Ca 6.015 -2.022 6.954
Sn 2.051 0.000 0.000
Sn 5.057 0.000 3.560
S 3.554 6.531 1.780
S 1.701 2.398 0.733
S 1.701 -2.398 6.387
S 3.554 1.038 5.340
S 3.554 -1.038 1.780
S 5.407 2.398 2.827
S 5.407 -2.398 4.292
S 3.554 -6.531 5.340
```

- E: -4.741 eV per atom
- Crystal system: orthorhombic
- Polymorph energy (0 for the lowest one): 159 meV per atom
- Magnetic moment: 0.000 μB/atom

No. 20
DFT (GGA-PBE) results for a relaxed structure of Sc4SiPS2.

The structure in extended XYZ format:
```
8
Lattice="-2.654 2.654 5.312 2.654 -2.654 5.312 2.654 2.654 -5.312" Properties=species:S:1:pos:R:3 pbc="T T T"
Sc 0.000 0.000 2.627
Sc 0.000 2.654 0.008
Sc 0.000 0.000 7.997
Sc 0.000 2.654 5.304
Si 0.000 2.654 2.656
P 0.000 0.000 0.000
S 2.654 0.000 2.656
S 0.000 0.000 5.312
```

- E: -7.076 eV per atom
- Crystal system: tetragonal
- Magnetic moment: 0.000 μB/atom